(1)
Compound: TlFeAgIr
Source: the Open Quantum Materials Database
Functional: PBE
Structure: relaxed

Cell and atoms, written as POSCAR:
```
TlFeAgIr
1.0
4.113 -1.629 -1.134
2.841 -1.491 3.250
0.876 -4.465 0.395
Tl Ir Ag Fe
1 1 1 1
Direct
0.000 0.000 0.000
0.500 0.500 0.500
0.250 0.250 0.250
0.750 0.750 0.750
```

Summary:
Polymorph energy (0 for the lowest one)   0 meV/atom



(2)
Compound: ZnFeAgIr
Source: the Open Quantum Materials Database
Functional: PBE
Structure: relaxed

Cell and atoms, written as POSCAR:
```
ZnFeAgIr
1.0
1.882 -2.020 3.384
-2.232 -2.983 2.278
1.069 -4.224 -0.298
Ir Zn Ag Fe
1 1 1 1
Direct
0.500 0.500 0.500
0.000 0.000 0.000
0.250 0.250 0.250
0.750 0.750 0.750
```

Summary:
Calculated formation energy   0.93 eV/f.u.
Polymorph energy (0 for the lowest one)   0 meV/atom



(3)
Compound: KFeAgS3
Source: the Open Quantum Materials Database
Functional: PBE
Structure: relaxed

Cell and atoms, written as POSCAR:
```
KFeAgS3
1.0
-0.829 6.015 -4.384
-3.100 3.645 -5.761
-7.152 3.377 5.986
S Ag Fe K
6 2 2 2
Direct
0.059 0.059 0.750
0.395 0.395 0.514
0.941 0.941 0.250
0.395 0.395 0.986
0.605 0.605 0.014
0.605 0.605 0.486
0.435 0.435 0.750
0.565 0.565 0.250
0.000 0.000 0.000
0.000 0.000 0.500
0.739 0.739 0.750
0.261 0.261 0.250
```

Summary:
Energy   -4.39 eV/atom



(4)
Compound: KFeAgSe2S
Source: the Open Quantum Materials Database
Functional: PBE
Structure: relaxed

Cell and atoms, written as POSCAR:
```
KFeAgSe2S
1.0
1.834 -7.277 0.000
1.834 7.277 0.000
0.000 0.000 10.681
Se Fe Ag K S
4 2 2 2 2
Direct
0.114 0.886 0.028
0.886 0.114 0.972
0.886 0.114 0.528
0.114 0.886 0.472
0.500 0.500 0.000
0.500 0.500 0.500
0.040 0.960 0.250
0.960 0.040 0.750
0.248 0.752 0.750
0.752 0.248 0.250
0.427 0.573 0.250
0.573 0.427 0.750
```

Summary:
Energy   -4.17 eV/atom



(5)
Compound: KFeAgTe2S
Source: the Open Quantum Materials Database
Functional: PBE
Structure: relaxed

Cell and atoms, written as POSCAR:
```
KFeAgTe2S
1.0
-3.823 1.358 6.320
0.035 -2.038 -7.229
1.172 -10.505 2.967
Te S Ag Fe K
4 2 2 2 2
Direct
0.623 0.377 0.473
0.377 0.623 0.527
0.623 0.377 0.027
0.377 0.623 0.973
0.931 0.069 0.250
0.069 0.931 0.750
0.536 0.464 0.250
0.464 0.536 0.750
0.000 0.000 0.000
0.000 0.000 0.500
0.744 0.256 0.750
0.256 0.744 0.250
```

Summary:
Energy   -3.96 eV/atom



(6)
Compound: KFeAgTe2Se
Source: the Open Quantum Materials Database
Functional: PBE
Structure: relaxed

Cell and atoms, written as POSCAR:
```
KFeAgTe2Se
1.0
1.979 -7.647 0.000
1.979 7.647 0.000
0.000 0.000 10.691
K Fe Te Ag Se
2 2 4 2 2
Direct
0.246 0.754 0.250
0.754 0.246 0.750
0.000 0.000 0.000
0.000 0.000 0.500
0.618 0.382 0.018
0.382 0.618 0.518
0.618 0.382 0.482
0.382 0.618 0.982
0.545 0.455 0.250
0.455 0.545 0.750
0.931 0.069 0.250
0.069 0.931 0.750
```

Summary:
Energy   -3.88 eV/atom